No. 1
Computed, not measured: crystalline K2CaRu at its relaxed geometry at the PBE level of DFT.

Results
For the energy above the most stable polymorph in this dataset, the calculation gives 336.2 meV/atom. For the volume, the calculation gives 31.45 Å³ per atom. Its energy relative to the elements is 0.91 eV/atom.

abc: 3.613 6.306 5.548
angles: 90.00 95.63 90.00
Space group P2/m (No. 10)
Unique sites:
K1 0.224 0.000 0.273
Ca1 0.500 0.500 0.000
Ru1 0.000 0.500 0.500


No. 2
Computed, not measured: crystalline KCaRu2 at its relaxed geometry at the PBE level of DFT.

Results
For the energy above the most stable polymorph in this dataset, the calculation gives 655.3 meV/atom. For the volume, the calculation gives 20.02 Å³ per atom. Its energy relative to the elements is 1.03 eV/atom.

abc: 5.252 9.899 3.081
angles: 90.00 90.40 90.00
Space group C2/m (No. 12)
Unique sites:
K1 0.000 0.000 0.000
Ca1 0.000 0.500 0.000
Ru1 0.250 0.250 0.500


No. 3
Computed, not measured: crystalline KCa2TaRu at its relaxed geometry at the PBE level of DFT.

Results
For the volume, the calculation gives 40.12 Å³ per atom. Its energy relative to the elements is 2.07 eV/atom.

abc: 5.797 5.797 5.969
angles: 90.00 90.00 90.00
Space group P4/mmm (No. 123)
Unique sites:
K1 0.000 0.000 0.000
Ca1 0.000 0.500 0.500
Ta1 0.000 0.000 0.500
Ru1 0.500 0.500 0.000


No. 4
Computed, not measured: crystalline KCaTa2Ru at its relaxed geometry at the PBE level of DFT.

Results
For the volume, the calculation gives 22.09 Å³ per atom. Its energy relative to the elements is 2.60 eV/atom.

abc: 4.786 4.786 4.822
angles: 90.00 90.00 90.00
Space group P4/mmm (No. 123)
Unique sites:
K1 0.000 0.000 0.000
Ca1 0.500 0.500 0.500
Ta1 0.000 0.500 0.000
Ru1 0.000 0.000 0.500


No. 5
Computed, not measured: crystalline KCa2VRu at its relaxed geometry at the PBE level of DFT.

Results
For the volume, the calculation gives 36.91 Å³ per atom. Its energy relative to the elements is 1.63 eV/atom.

abc: 5.702 5.702 5.676
angles: 90.00 90.00 90.00
Space group P4/mmm (No. 123)
Unique sites:
K1 0.000 0.000 0.000
Ca1 0.000 0.500 0.500
V1 0.000 0.000 0.500
Ru1 0.500 0.500 0.000


No. 6
Computed, not measured: crystalline KCaY2Ru at its relaxed geometry at the PBE level of DFT.

Results
For the volume, the calculation gives 35.02 Å³ per atom. Its energy relative to the elements is 0.05 eV/atom.

abc: 5.431 5.431 5.937
angles: 90.00 90.00 90.00
Space group P4/mmm (No. 123)
Unique sites:
K1 0.000 0.000 0.000
Ca1 0.500 0.500 0.000
Y1 0.000 0.500 0.500
Ru1 0.500 0.500 0.500


For each record above, in turn, the calculated total DFT energy (no corrections) values are -2.45, -4.38, -3.18, -4.61, -3.07, -5.01 eV/atom.